A plane-wave DFT calculation with PBE+U was carried out for an optimized crystal structure of Rb2TiWF6.

Cell and atoms, written as POSCAR:
```
Rb2TiWF6
1.0
-3.091 3.091 4.395
3.091 -3.091 4.395
3.091 3.091 -4.395
Rb Ti W F
2 1 1 6
Cartesian
3.091 0.000 2.197 Rb
0.000 3.091 2.197 Rb
0.000 0.000 0.000 Ti
0.000 0.000 4.395 W
1.478 1.478 0.000 F
1.612 -1.612 4.395 F
0.000 0.000 2.214 F
0.000 0.000 6.575 F
-1.612 1.612 4.395 F
1.612 1.612 4.395 F
```

Calculated values
As for the space-group type: I4/mmm (139). The total magnetization comes out at 0.40 μB per atom. The value obtained for the total DFT energy (no corrections) is -51.91 eV per cell.